The following is a GGA-PBEsol calculation of a relaxed MgCdGa3 crystal, from Alexandria via LeMat-Bulk.

Values from the calculation:
VASP energy   -10.5 eV per cell
E_form   0.4876 eV/atom
Calculated volume   26.4 Å³ per atom
SG   Pm-3m

Cell: 5.090 5.090 5.090 Å, 90.00 90.00 90.00°
Fractional coordinates of all 5 atoms:
1 Mg 0.000 0.000 0.000
2 Cd 0.500 0.500 0.500
3 Ga 0.000 0.500 0.500
4 Ga 0.500 0.000 0.500
5 Ga 0.500 0.500 0.000



The following is a GGA-PBEsol calculation of a relaxed MgCd3Ga crystal, from Alexandria via LeMat-Bulk.

Values from the calculation:
VASP energy   -5.9 eV per cell
E_form   0.5552 eV/atom
Calculated volume   28.4 Å³ per atom
SG   Pm-3m

Cell: 5.218 5.218 5.218 Å, 90.00 90.00 90.00°
Fractional coordinates of all 5 atoms:
1 Mg 0.000 0.000 0.000
2 Cd 0.000 0.000 0.500
3 Cd 0.000 0.500 0.000
4 Cd 0.500 0.000 0.000
5 Ga 0.500 0.500 0.500



no.,ρ (g cm⁻³),D(E_F) (states/eV/cell)
1,4.4,2.7
2,5.0,2.0